# 1
Entry from Alexandria: PmTm2Tl2Zn2 after structural relaxation (PBE-GGA).

Cell and atoms, written as CIF:
```
data_PmTm2Tl2Zn2
_symmetry_space_group_name_H-M 'R -3 m'
_symmetry_Int_Tables_number 166
_symmetry_space_group_name_Hall '-R 3 2"'
_cell_length_a 4.8016
_cell_length_b 4.8016
_cell_length_c 26.4950
_cell_angle_alpha 90.00
_cell_angle_beta 90.00
_cell_angle_gamma 120.00
loop_
_atom_site_label
_atom_site_fract_x
_atom_site_fract_y
_atom_site_fract_z
_atom_site_occupancy
Pm1 0.0000 0.0000 0.0000 1
Tm1 0.0000 0.0000 0.1329 1
Tl1 0.0000 0.0000 0.2643 1
Zn1 0.0000 0.0000 0.4339 1
```

Calculated values
For the energy relative to the elements, the calculation gives -0.159 eV per atom.

# 2
Entry from Alexandria: Tm4Ni3Pt after structural relaxation (PBE-GGA).

Cell and atoms, written as CIF:
```
data_Tm4Ni3Pt
_symmetry_space_group_name_H-M 'P m m 2'
_symmetry_Int_Tables_number 25
_cell_length_a 3.680
_cell_length_b 4.255
_cell_length_c 10.114
_cell_angle_alpha 90.00
_cell_angle_beta 90.00
_cell_angle_gamma 90.00
loop_
_symmetry_equiv_pos_as_xyz
'x,y,z'
'-x,-y,z'
'-x,y,z'
'x,-y,z'
loop_
_atom_site_label
_atom_site_fract_x
_atom_site_fract_y
_atom_site_fract_z
_atom_site_occupancy
Tm1 0.000 0.000 0.000 1
Tm2 0.000 0.500 0.272 1
Tm3 0.500 0.000 0.489 1
Tm4 0.500 0.500 0.777 1
Ni1 0.000 0.500 0.550 1
Ni2 0.500 0.000 0.207 1
Ni3 0.500 0.500 0.064 1
Pt1 0.000 0.000 0.714 1
```

Calculated values
For the energy relative to the elements, the calculation gives -0.706 eV per atom.

# 3
Entry from Alexandria: Cs3BI6 after structural relaxation (PBE-GGA).

Cell and atoms, written as CIF:
```
data_Cs3BI6
_symmetry_space_group_name_H-M 'I 4/m m m'
_symmetry_Int_Tables_number 139
_symmetry_space_group_name_Hall '-I 4 2'
_cell_length_a 9.402
_cell_length_b 9.402
_cell_length_c 11.520
_cell_angle_alpha 90.00
_cell_angle_beta 90.00
_cell_angle_gamma 90.00
loop_
_atom_site_label
_atom_site_fract_x
_atom_site_fract_y
_atom_site_fract_z
_atom_site_occupancy
Cs1 0.000 0.000 0.000 1
Cs2 0.000 0.500 0.250 1
B1 0.000 0.000 0.500 1
I1 0.000 0.000 0.313 1
I2 0.228 0.228 0.500 1
```

Calculated values
For the total energy, the calculation gives -2.48 eV per atom.

# 4
Entry from Alexandria: K2AlNi after structural relaxation (PBE-GGA).

Cell and atoms, written as CIF:
```
data_K2AlNi
_symmetry_space_group_name_H-M 'P m m m'
_symmetry_Int_Tables_number 47
_cell_length_a 3.269
_cell_length_b 5.367
_cell_length_c 6.091
_cell_angle_alpha 90.00
_cell_angle_beta 90.00
_cell_angle_gamma 90.00
loop_
_symmetry_equiv_pos_as_xyz
'x,y,z'
'-x,-y,-z'
'-x,-y,z'
'x,y,-z'
'x,-y,-z'
'-x,y,z'
'-x,y,-z'
'x,-y,z'
loop_
_atom_site_label
_atom_site_fract_x
_atom_site_fract_y
_atom_site_fract_z
_atom_site_occupancy
K1 0.000 0.000 0.240 1
Al1 0.500 0.500 0.500 1
Ni1 0.500 0.500 0.000 1
```

Calculated values
For the energy relative to the elements, the calculation gives 0.731 eV per atom.

# 5
Entry from Alexandria: SrTlI2O after structural relaxation (PBE-GGA).

Cell and atoms, written as CIF:
```
data_SrTlI2O
_symmetry_space_group_name_H-M 'P 4/m m m'
_symmetry_Int_Tables_number 123
_symmetry_space_group_name_Hall '-P 4 2'
_cell_length_a 6.366
_cell_length_b 6.366
_cell_length_c 4.260
_cell_angle_alpha 90.00
_cell_angle_beta 90.00
_cell_angle_gamma 90.00
loop_
_atom_site_label
_atom_site_fract_x
_atom_site_fract_y
_atom_site_fract_z
_atom_site_occupancy
Sr1 0.000 0.000 0.000 1
Tl1 0.500 0.500 0.500 1
I1 0.000 0.500 0.500 1
O1 0.500 0.500 0.000 1
```

Calculated values
Its excess energy over the best structure of this formula in the dataset is 0.240 eV per atom.

# 6
Entry from Alexandria: LiMnCu after structural relaxation (PBE-GGA).

Cell and atoms, written as CIF:
```
data_LiMnCu
_symmetry_space_group_name_H-M 'F -4 3 m'
_symmetry_Int_Tables_number 216
_symmetry_space_group_name_Hall 'F -4 2 3'
_cell_length_a 5.885
_cell_length_b 5.885
_cell_length_c 5.885
_cell_angle_alpha 90.00
_cell_angle_beta 90.00
_cell_angle_gamma 90.00
loop_
_atom_site_label
_atom_site_fract_x
_atom_site_fract_y
_atom_site_fract_z
_atom_site_occupancy
Li1 0.000 0.000 0.000 1
Mn1 0.250 0.250 0.250 1
Cu1 0.000 0.000 0.500 1
```

Calculated values
Its excess energy over the best structure of this formula in the dataset is 0.461 eV per atom. For the energy relative to the elements, the calculation gives 0.627 eV per atom.

# 7
Entry from Alexandria: AgP2Cl after structural relaxation (PBE-GGA).

Cell and atoms, written as CIF:
```
data_AgP2Cl
_symmetry_space_group_name_H-M 'P 4 m m'
_symmetry_Int_Tables_number 99
_cell_length_a 3.389
_cell_length_b 3.389
_cell_length_c 6.698
_cell_angle_alpha 90.00
_cell_angle_beta 90.00
_cell_angle_gamma 90.00
loop_
_symmetry_equiv_pos_as_xyz
'x,y,z'
'-y,x,z'
'-x,-y,z'
'y,-x,z'
'-x,y,z'
'y,x,z'
'x,-y,z'
'-y,-x,z'
loop_
_atom_site_label
_atom_site_fract_x
_atom_site_fract_y
_atom_site_fract_z
_atom_site_occupancy
Ag1 0.000 0.000 0.000 1
P1 0.000 0.000 0.638 1
P2 0.500 0.500 0.605 1
Cl1 0.500 0.500 0.221 1
```

Calculated values
Its excess energy over the best structure of this formula in the dataset is 0.196 eV per atom.

# 8
Entry from Alexandria: VCdPb3 after structural relaxation (PBE-GGA).

Cell and atoms, written as CIF:
```
data_VCdPb3
_symmetry_space_group_name_H-M 'P m -3 m'
_symmetry_Int_Tables_number 221
_symmetry_space_group_name_Hall '-P 4 2 3'
_cell_length_a 5.334
_cell_length_b 5.334
_cell_length_c 5.334
_cell_angle_alpha 90.00
_cell_angle_beta 90.00
_cell_angle_gamma 90.00
loop_
_atom_site_label
_atom_site_fract_x
_atom_site_fract_y
_atom_site_fract_z
_atom_site_occupancy
V1 0.000 0.000 0.000 1
Cd1 0.500 0.500 0.500 1
Pb1 0.000 0.000 0.500 1
```

Calculated values
Its excess energy over the best structure of this formula in the dataset is 0.000 eV per atom. For the energy relative to the elements, the calculation gives 0.333 eV per atom.

# 9
Entry from Alexandria: Ca2TlCr after structural relaxation (PBE-GGA).

Cell and atoms, written as CIF:
```
data_Ca2TlCr
_symmetry_space_group_name_H-M 'I m m 2'
_symmetry_Int_Tables_number 44
_cell_length_a 3.857
_cell_length_b 5.386
_cell_length_c 10.977
_cell_angle_alpha 90.00
_cell_angle_beta 90.00
_cell_angle_gamma 90.00
loop_
_symmetry_equiv_pos_as_xyz
'x,y,z'
'-x,-y,z'
'-x,y,z'
'x,-y,z'
'x+1/2,y+1/2,z+1/2'
'-x+1/2,-y+1/2,z+1/2'
'-x+1/2,y+1/2,z+1/2'
'x+1/2,-y+1/2,z+1/2'
loop_
_atom_site_label
_atom_site_fract_x
_atom_site_fract_y
_atom_site_fract_z
_atom_site_occupancy
Ca1 0.000 0.000 0.000 1
Ca2 0.000 0.500 0.213 1
Tl1 0.000 0.000 0.457 1
Cr1 0.000 0.500 0.761 1
```

Calculated values
Its excess energy over the best structure of this formula in the dataset is 0.073 eV per atom. For the energy relative to the elements, the calculation gives 0.164 eV per atom.

# 10
Entry from Alexandria: AgOsPb2 after structural relaxation (PBE-GGA).

Cell and atoms, written as CIF:
```
data_AgOsPb2
_symmetry_space_group_name_H-M 'C m m 2'
_symmetry_Int_Tables_number 35
_cell_length_a 3.412
_cell_length_b 5.116
_cell_length_c 10.634
_cell_angle_alpha 90.00
_cell_angle_beta 90.00
_cell_angle_gamma 90.00
loop_
_symmetry_equiv_pos_as_xyz
'x,y,z'
'-x,-y,z'
'-x,y,z'
'x,-y,z'
'x+1/2,y+1/2,z'
'-x+1/2,-y+1/2,z'
'-x+1/2,y+1/2,z'
'x+1/2,-y+1/2,z'
loop_
_atom_site_label
_atom_site_fract_x
_atom_site_fract_y
_atom_site_fract_z
_atom_site_occupancy
Ag1 0.000 0.000 0.000 1
Os1 0.000 0.500 0.207 1
Pb1 0.000 0.000 0.417 1
Pb2 0.000 0.500 0.761 1
```

Calculated values
Its excess energy over the best structure of this formula in the dataset is 0.161 eV per atom. For the energy relative to the elements, the calculation gives 0.764 eV per atom.

# 11
Entry from Alexandria: NpMn2Co after structural relaxation (PBE-GGA).

Cell and atoms, written as CIF:
```
data_NpMn2Co
_symmetry_space_group_name_H-M 'P 4/m m m'
_symmetry_Int_Tables_number 123
_symmetry_space_group_name_Hall '-P 4 2'
_cell_length_a 2.881
_cell_length_b 2.881
_cell_length_c 6.992
_cell_angle_alpha 90.00
_cell_angle_beta 90.00
_cell_angle_gamma 90.00
loop_
_atom_site_label
_atom_site_fract_x
_atom_site_fract_y
_atom_site_fract_z
_atom_site_occupancy
Np1 0.000 0.000 0.000 1
Mn1 0.500 0.500 0.296 1
Co1 0.000 0.000 0.500 1
```

Calculated values
Its excess energy over the best structure of this formula in the dataset is 0.105 eV per atom. For the energy relative to the elements, the calculation gives 0.161 eV per atom.

# 12
Entry from Alexandria: Tl2CuW after structural relaxation (PBE-GGA).

Cell and atoms, written as CIF:
```
data_Tl2CuW
_symmetry_space_group_name_H-M 'P 4/m m m'
_symmetry_Int_Tables_number 123
_symmetry_space_group_name_Hall '-P 4 2'
_cell_length_a 3.243
_cell_length_b 3.243
_cell_length_c 7.290
_cell_angle_alpha 90.00
_cell_angle_beta 90.00
_cell_angle_gamma 90.00
loop_
_atom_site_label
_atom_site_fract_x
_atom_site_fract_y
_atom_site_fract_z
_atom_site_occupancy
Tl1 0.000 0.000 0.238 1
Cu1 0.500 0.500 0.000 1
W1 0.500 0.500 0.500 1
```

Calculated values
Its excess energy over the best structure of this formula in the dataset is 0.324 eV per atom. For the energy relative to the elements, the calculation gives 0.966 eV per atom.

# 13
Entry from Alexandria: Ni2AgIr after structural relaxation (PBE-GGA).

Cell and atoms, written as CIF:
```
data_Ni2AgIr
_symmetry_space_group_name_H-M 'C 1 m 1'
_symmetry_Int_Tables_number 8
_cell_length_a 9.209
_cell_length_b 2.686
_cell_length_c 4.536
_cell_angle_alpha 90.00
_cell_angle_beta 105.80
_cell_angle_gamma 90.00
loop_
_symmetry_equiv_pos_as_xyz
'x,y,z'
'x,-y,z'
'x+1/2,y+1/2,z'
'x+1/2,-y+1/2,z'
loop_
_atom_site_label
_atom_site_fract_x
_atom_site_fract_y
_atom_site_fract_z
_atom_site_occupancy
Ni1 0.000 0.000 0.000 1
Ni2 0.225 0.500 0.303 1
Ag1 0.242 0.000 0.810 1
Ir1 0.469 0.000 0.467 1
```

Calculated values
Its excess energy over the best structure of this formula in the dataset is 0.092 eV per atom. For the energy relative to the elements, the calculation gives 0.226 eV per atom.

# 14
Entry from Alexandria: Tb3Sm2Er6 after structural relaxation (PBE-GGA).

Cell and atoms, written as CIF:
```
data_Tb3Sm2Er6
_symmetry_space_group_name_H-M 'I 4/m m m'
_symmetry_Int_Tables_number 139
_symmetry_space_group_name_Hall '-I 4 2'
_cell_length_a 4.708
_cell_length_b 4.708
_cell_length_c 33.044
_cell_angle_alpha 90.00
_cell_angle_beta 90.00
_cell_angle_gamma 90.00
loop_
_atom_site_label
_atom_site_fract_x
_atom_site_fract_y
_atom_site_fract_z
_atom_site_occupancy
Tb1 0.000 0.000 0.000 1
Tb2 0.000 0.000 0.202 1
Sm1 0.000 0.000 0.454 1
Er1 0.000 0.000 0.305 1
Er2 0.000 0.500 0.122 1
```

Calculated values
Its excess energy over the best structure of this formula in the dataset is 0.085 eV per atom. For the energy relative to the elements, the calculation gives 0.274 eV per atom.